The following is a PBE calculation of an optimized crystal structure of ZrSb2Cl, from the Alexandria database.

Geometry as CIF:
```
data_ZrSb2Cl
_chemical_formula_sum 'Zr1 Sb2 Cl1'
_cell_length_a 3.5711
_cell_length_b 3.5711
_cell_length_c 8.3583
_cell_angle_alpha 90.00
_cell_angle_beta 90.00
_cell_angle_gamma 90.00
_symmetry_space_group_name_H-M 'P 4 m m'
_symmetry_Int_Tables_number 99
loop_
_symmetry_equiv_pos_as_xyz
'x,y,z'
'-y,x,z'
'-x,-y,z'
'y,-x,z'
'-x,y,z'
'y,x,z'
'x,-y,z'
'-y,-x,z'
loop_
_atom_site_label
_atom_site_fract_x
_atom_site_fract_y
_atom_site_fract_z
_atom_site_occupancy
Zr1 0.0000 0.0000 0.0000 1
Sb1 0.0000 0.0000 0.6056 1
Sb2 0.5000 0.5000 0.8165 1
Cl1 0.5000 0.5000 0.1974 1
```

Total DFT energy (no corrections), eV per atom: -5.162
V, Å³ per cell: 107
Total moment, μB per cell: 0.000
Distance to the lowest polymorph of the same formula, meV per atom: 154
Raw formation energy, kJ per mole of atoms: -48.5